a:
An optimized crystal structure of Hg3S2Br2. Source: the Alexandria database, functional PBE-GGA.

Unit cell a=10.4126 b=10.4126 c=10.6447 alpha=112.73 beta=112.73 gamma=53.95
Fractional positions:
Hg 0.1068 0.6333 0.9963
Hg 0.1596 0.6954 0.7051
Hg 0.2838 0.2838 0.7166
Hg 0.3046 0.8404 0.2949
Hg 0.3667 0.8932 0.0037
Hg 0.4235 0.4235 0.2730
Hg 0.5765 0.5765 0.7270
Hg 0.6333 0.1068 0.9963
Hg 0.6954 0.1596 0.7051
Hg 0.7162 0.7162 0.2834
Hg 0.8404 0.3046 0.2949
Hg 0.8932 0.3667 0.0037
S 0.0490 0.5624 0.7425
S 0.1738 0.6878 0.2500
S 0.3122 0.8262 0.7500
S 0.4376 0.9510 0.2575
S 0.5624 0.0490 0.7425
S 0.6878 0.1738 0.2500
S 0.8262 0.3122 0.7500
S 0.9510 0.4376 0.2575
Br 0.0000 0.0000 0.0000
Br 0.1199 0.1199 0.4966
Br 0.2507 0.2507 0.9980
Br 0.3831 0.3831 0.5150
Br 0.5000 0.5000 0.0000
Br 0.6169 0.6169 0.4850
Br 0.7493 0.7493 0.0020
Br 0.8801 0.8801 0.5034

- Crystal system: monoclinic
- Total magnetization: 0.0 μB/f.u.

b:
An optimized crystal structure of Hg3S2Br2. Source: the Alexandria database, functional PBE-GGA.

Unit cell a=6.7764 b=7.5413 c=10.1567 alpha=90.00 beta=125.27 gamma=90.00
Fractional positions:
Hg 0.0000 0.0000 0.0000
Hg 0.0000 0.5000 0.5000
Hg 0.3570 0.0726 0.6820
Hg 0.3570 0.4274 0.1820
Hg 0.6430 0.5726 0.8180
Hg 0.6430 0.9274 0.3180
S 0.3814 0.1265 0.0854
S 0.3814 0.3735 0.5854
S 0.6186 0.6265 0.4146
S 0.6186 0.8735 0.9146
Br 0.1181 0.6152 0.8845
Br 0.1181 0.8848 0.3845
Br 0.8819 0.1152 0.6155
Br 0.8819 0.3848 0.1155

- Crystal system: monoclinic
- Total magnetization: 0.0 μB/f.u.

c:
An optimized crystal structure of Hg3S2Br2. Source: the Alexandria database, functional PBE-GGA.

Unit cell a=7.4525 b=7.5165 c=8.5678 alpha=90.00 beta=120.74 gamma=90.00
Fractional positions:
Hg 0.0000 0.0000 0.0000
Hg 0.0000 0.5000 0.5000
Hg 0.4331 0.0912 0.7013
Hg 0.4331 0.4088 0.2013
Hg 0.5669 0.5912 0.7987
Hg 0.5669 0.9088 0.2987
S 0.3331 0.1158 0.0557
S 0.3331 0.3842 0.5557
S 0.6669 0.6158 0.4443
S 0.6669 0.8842 0.9443
Br 0.1840 0.6398 0.9089
Br 0.1840 0.8602 0.4089
Br 0.8160 0.1398 0.5911
Br 0.8160 0.3602 0.0911

- Crystal system: monoclinic
- Total magnetization: 0.0 μB/f.u.

Computed stability ranking, most favorable first: a, b, c

a:
An optimized crystal structure of Hg2SbBr. Source: the Alexandria database, functional PBE-GGA.

Unit cell a=8.4656 b=8.4656 c=8.4656 alpha=134.63 beta=134.63 gamma=66.10
Fractional positions:
Hg 0.0792 0.6250 0.9542
Hg 0.3750 0.3292 0.4542
Hg 0.6708 0.1250 0.0458
Hg 0.8750 0.9208 0.5458
Sb 0.0000 0.0000 0.0000
Sb 0.7500 0.2500 0.5000
Br 0.2500 0.7500 0.5000
Br 0.5000 0.5000 0.0000

- Crystal system: tetragonal
- Total magnetization: 0.0 μB/f.u.

b:
An optimized crystal structure of Hg2SbBr. Source: the Alexandria database, functional PBE-GGA.

Unit cell a=3.6032 b=3.8326 c=7.8165 alpha=90.00 beta=90.00 gamma=90.00
Fractional positions:
Hg 0.0000 0.0000 0.2370
Hg 0.0000 0.0000 0.7630
Sb 0.5000 0.5000 0.0000
Br 0.5000 0.5000 0.5000

- Crystal system: orthorhombic
- Total magnetization: 0.0 μB/f.u.

Computed stability ranking, most favorable first: a, b

a:
An optimized crystal structure of Hg2Sb2Br. Source: the Alexandria database, functional PBE-GGA.

Unit cell a=8.4263 b=8.4263 c=8.4263 alpha=150.16 beta=150.16 gamma=42.71
Fractional positions:
Hg 0.0916 0.0916 0.0000
Hg 0.9084 0.9084 0.0000
Sb 0.2500 0.7500 0.5000
Sb 0.7500 0.2500 0.5000
Br 0.5000 0.5000 0.0000

- Crystal system: tetragonal
- Total magnetization: 0.0 μB/f.u.

b:
An optimized crystal structure of Hg2Sb2Br. Source: the Alexandria database, functional PBE-GGA.

Unit cell a=6.0858 b=6.0858 c=6.0858 alpha=123.10 beta=123.10 gamma=84.72
Fractional positions:
Hg 0.2500 0.7500 0.5000
Hg 0.7500 0.2500 0.5000
Sb 0.1661 0.1661 0.0000
Sb 0.8339 0.8339 0.0000
Br 0.5000 0.5000 0.0000

- Crystal system: tetragonal
- Total magnetization: 0.0 μB/f.u.

Computed stability ranking, most favorable first: b, a

a:
An optimized crystal structure of HgSb2Br2. Source: the Alexandria database, functional PBE-GGA.

Unit cell a=10.2874 b=10.2874 c=10.2874 alpha=156.02 beta=156.02 gamma=34.17
Fractional positions:
Hg 0.0000 0.0000 0.0000
Sb 0.2500 0.7500 0.5000
Sb 0.7500 0.2500 0.5000
Br 0.3732 0.3732 0.0000
Br 0.6268 0.6268 0.0000

- Crystal system: tetragonal
- Total magnetization: 0.0 μB/f.u.

b:
An optimized crystal structure of HgSb2Br2. Source: the Alexandria database, functional PBE-GGA.

Unit cell a=7.6823 b=7.6823 c=5.6105 alpha=90.00 beta=90.00 gamma=90.00
Fractional positions:
Hg 0.0000 0.0000 0.0000
Hg 0.5000 0.5000 0.0000
Sb 0.1357 0.3643 0.0000
Sb 0.3643 0.8643 0.0000
Sb 0.6357 0.1357 0.0000
Sb 0.8643 0.6357 0.0000
Br 0.1749 0.3251 0.5000
Br 0.3251 0.8251 0.5000
Br 0.6749 0.1749 0.5000
Br 0.8251 0.6749 0.5000

- Crystal system: tetragonal
- Total magnetization: 0.0 μB/f.u.

Computed stability ranking, most favorable first: b, a